# 1
Here is Ca2PuSb3Pt4 after structural relaxation from Alexandria. Energies are from GGA-PBE.

```
data_Ca2PuSb3Pt4
_chemical_formula_sum 'Ca2 Pu1 Sb3 Pt4'
_cell_length_a 4.542
_cell_length_b 4.542
_cell_length_c 11.463
_cell_angle_alpha 90.00
_cell_angle_beta 90.00
_cell_angle_gamma 90.00
_space_group_name_H-M_alt 'P 1'
_space_group_IT_number 1
_space_group_name_Hall 'P 1'
loop_
_atom_site_label
_atom_site_fract_x
_atom_site_fract_y
_atom_site_fract_z
Sb1 0.500 0.000 0.874
Pu1 0.500 0.500 0.500
Pt1 0.500 0.500 0.000
Pt2 0.000 0.500 0.352
Sb2 0.000 0.000 0.500
Ca1 0.500 0.000 0.219
Pt3 0.500 0.000 0.648
Pt4 0.000 0.000 0.000
Ca2 0.000 0.500 0.781
Sb3 0.000 0.500 0.126
```

Output
total moment	5.39	μB/f.u.
E_form (uncorrected)	-743	meV per atom

# 2
Here is MoOsAu2 after structural relaxation from Alexandria. Energies are from GGA-PBE.

```
data_MoOsAu2
_chemical_formula_sum 'Mo1 Os1 Au2'
_cell_length_a 2.759
_cell_length_b 2.759
_cell_length_c 9.734
_cell_angle_alpha 90.00
_cell_angle_beta 90.00
_cell_angle_gamma 114.90
_space_group_name_H-M_alt 'P 1'
_space_group_IT_number 1
_space_group_name_Hall 'P 1'
loop_
_atom_site_label
_atom_site_fract_x
_atom_site_fract_y
_atom_site_fract_z
Au1 0.000 0.000 0.993
Os1 0.500 0.500 0.734
Mo1 0.000 0.000 0.515
Au2 0.500 0.500 0.258
```

Output
energy above the lowest structure with this stoichiometry	0.170	eV/atom
total moment	0.00	μB/f.u.
ΔE_f	0.341	eV/atom

# 3
Here is Sr4Ti3ZnO12 after structural relaxation from Alexandria. Energies are from GGA-PBE.

```
data_Sr4Ti3ZnO12
_chemical_formula_sum 'Sr4 Ti3 Zn1 O12'
_cell_length_a 6.867
_cell_length_b 6.867
_cell_length_c 6.867
_cell_angle_alpha 109.47
_cell_angle_beta 109.47
_cell_angle_gamma 109.47
_space_group_name_H-M_alt 'P 1'
_space_group_IT_number 1
_space_group_name_Hall 'P 1'
loop_
_atom_site_label
_atom_site_fract_x
_atom_site_fract_y
_atom_site_fract_z
O1 0.742 0.000 0.742
Ti1 0.500 0.000 0.500
O2 0.258 0.258 0.000
O3 0.742 0.742 0.000
Sr1 0.000 0.000 0.500
O4 0.250 0.750 0.500
O5 0.750 0.500 0.250
Sr2 0.500 0.500 0.500
Zn1 0.000 0.000 0.000
Ti2 0.000 0.500 0.500
Ti3 0.500 0.500 0.000
Sr3 0.000 0.500 0.000
O6 0.000 0.742 0.742
O7 0.500 0.750 0.250
O8 0.500 0.250 0.750
O9 0.258 0.000 0.258
O10 0.250 0.500 0.750
O11 0.750 0.250 0.500
O12 0.000 0.258 0.258
Sr4 0.500 0.000 0.000
```

Output
total moment	0.82	μB/f.u.
E_form (uncorrected)	-2709	meV per atom

# 4
Here is Ca2MgBiO6 after structural relaxation from Alexandria. Energies are from GGA-PBE.

```
data_Ca2MgBiO6
_chemical_formula_sum 'Ca4 Mg2 Bi2 O12'
_cell_length_a 5.694
_cell_length_b 5.901
_cell_length_c 7.840
_cell_angle_alpha 90.00
_cell_angle_beta 89.06
_cell_angle_gamma 90.00
_space_group_name_H-M_alt 'P 1'
_space_group_IT_number 1
_space_group_name_Hall 'P 1'
loop_
_atom_site_label
_atom_site_fract_x
_atom_site_fract_y
_atom_site_fract_z
Mg1 0.500 0.000 0.000
O1 0.376 0.947 0.753
Ca1 0.016 0.940 0.254
Ca2 0.516 0.560 0.754
Ca3 0.984 0.060 0.746
O2 0.700 0.295 0.939
O3 0.799 0.795 0.933
O4 0.701 0.295 0.567
Bi1 0.000 0.500 0.000
O5 0.299 0.705 0.433
O6 0.201 0.205 0.067
Bi2 0.500 0.000 0.500
O7 0.300 0.705 0.061
O8 0.200 0.205 0.439
O9 0.624 0.053 0.247
O10 0.876 0.553 0.253
Ca4 0.484 0.440 0.246
Mg2 0.000 0.500 0.500
O11 0.124 0.447 0.747
O12 0.800 0.795 0.561
```

Output
total moment	1.06	μB/f.u.
E_form (uncorrected)	-1983	meV per atom

# 5
Here is LaSmMg2Au4 after structural relaxation from Alexandria. Energies are from GGA-PBE.

```
data_LaSmMg2Au4
_chemical_formula_sum 'La1 Sm1 Mg2 Au4'
_cell_length_a 5.063
_cell_length_b 5.063
_cell_length_c 8.634
_cell_angle_alpha 72.95
_cell_angle_beta 72.95
_cell_angle_gamma 60.00
_space_group_name_H-M_alt 'P 1'
_space_group_IT_number 1
_space_group_name_Hall 'P 1'
loop_
_atom_site_label
_atom_site_fract_x
_atom_site_fract_y
_atom_site_fract_z
Mg1 0.751 0.751 0.746
Sm1 0.500 0.500 0.500
Au1 0.624 0.624 0.128
Au2 0.376 0.376 0.872
Au3 0.129 0.129 0.612
La1 0.000 0.000 0.000
Mg2 0.249 0.249 0.254
Au4 0.871 0.871 0.388
```

Output
total moment	0.00	μB/f.u.
ΔE_f	-0.743	eV/atom

# 6
Here is Rb2CaPdBr6 after structural relaxation from Alexandria. Energies are from GGA-PBE.

```
data_Rb2CaPdBr6
_chemical_formula_sum 'Rb2 Ca1 Pd1 Br6'
_cell_length_a 7.836
_cell_length_b 7.836
_cell_length_c 7.839
_cell_angle_alpha 60.01
_cell_angle_beta 60.01
_cell_angle_gamma 90.00
_space_group_name_H-M_alt 'P 1'
_space_group_IT_number 1
_space_group_name_Hall 'P 1'
loop_
_atom_site_label
_atom_site_fract_x
_atom_site_fract_y
_atom_site_fract_z
Rb1 0.750 0.250 0.500
Br1 0.241 0.759 0.000
Br2 0.241 0.241 0.000
Rb2 0.250 0.750 0.500
Br3 0.759 0.241 0.000
Br4 0.759 0.759 0.000
Br5 0.241 0.241 0.518
Ca1 0.500 0.500 0.000
Pd1 0.000 0.000 0.000
Br6 0.759 0.759 0.482
```

Output
total moment	2.00	μB/f.u.
E_form (uncorrected)	-1319	meV per atom

# 7
Here is CrRe2Ru after structural relaxation from Alexandria. Energies are from GGA-PBE.

```
data_CrRe2Ru
_chemical_formula_sum 'Cr1 Re2 Ru1'
_cell_length_a 5.112
_cell_length_b 5.112
_cell_length_c 5.112
_cell_angle_alpha 146.46
_cell_angle_beta 129.50
_cell_angle_gamma 62.00
_space_group_name_H-M_alt 'P 1'
_space_group_IT_number 1
_space_group_name_Hall 'P 1'
loop_
_atom_site_label
_atom_site_fract_x
_atom_site_fract_y
_atom_site_fract_z
Re1 0.758 0.258 0.500
Cr1 0.242 0.742 0.500
Ru1 0.478 0.478 0.000
Re2 0.023 0.023 0.000
```

Output
energy above the lowest structure with this stoichiometry	0.110	eV/atom
total moment	0.00	μB/f.u.
ΔE_f	0.207	eV/atom

# 8
Here is Y2Zn2Cd3 after structural relaxation from Alexandria. Energies are from GGA-PBE.

```
data_Y2Zn2Cd3
_chemical_formula_sum 'Y2 Zn2 Cd3'
_cell_length_a 4.283
_cell_length_b 5.751
_cell_length_c 7.516
_cell_angle_alpha 112.64
_cell_angle_beta 90.00
_cell_angle_gamma 111.86
_space_group_name_H-M_alt 'P 1'
_space_group_IT_number 1
_space_group_name_Hall 'P 1'
loop_
_atom_site_label
_atom_site_fract_x
_atom_site_fract_y
_atom_site_fract_z
Zn1 0.845 0.690 0.801
Zn2 0.155 0.310 0.199
Cd1 0.500 0.000 0.000
Cd2 0.620 0.241 0.438
Y1 0.858 0.716 0.214
Cd3 0.380 0.759 0.562
Y2 0.142 0.284 0.786
```

Output
energy above the lowest structure with this stoichiometry	0.000	eV/atom
total moment	0.00	μB/f.u.
ΔE_f	-0.303	eV/atom

# 9
Here is BeIrPb after structural relaxation from Alexandria. Energies are from GGA-PBE.

```
data_BeIrPb
_chemical_formula_sum 'Be1 Ir1 Pb1'
_cell_length_a 5.817
_cell_length_b 5.817
_cell_length_c 3.117
_cell_angle_alpha 74.47
_cell_angle_beta 74.45
_cell_angle_gamma 31.08
_space_group_name_H-M_alt 'P 1'
_space_group_IT_number 1
_space_group_name_Hall 'P 1'
loop_
_atom_site_label
_atom_site_fract_x
_atom_site_fract_y
_atom_site_fract_z
Pb1 0.673 0.673 0.327
Be1 0.945 0.945 0.055
Ir1 0.382 0.382 0.618
```

Output
energy above the lowest structure with this stoichiometry	0.000	eV/atom
total moment	0.00	μB/f.u.
ΔE_f	0.104	eV/atom

# 10
Here is VGaGePt2 after structural relaxation from Alexandria. Energies are from GGA-PBE.

```
data_VGaGePt2
_chemical_formula_sum 'V1 Ga1 Ge1 Pt2'
_cell_length_a 4.672
_cell_length_b 4.672
_cell_length_c 4.672
_cell_angle_alpha 90.00
_cell_angle_beta 90.00
_cell_angle_gamma 90.00
_space_group_name_H-M_alt 'P 1'
_space_group_IT_number 1
_space_group_name_Hall 'P 1'
loop_
_atom_site_label
_atom_site_fract_x
_atom_site_fract_y
_atom_site_fract_z
V1 0.500 0.500 0.500
Ge1 0.000 0.500 0.000
Pt1 0.000 0.000 0.500
Ga1 0.000 0.000 0.000
Pt2 0.500 0.000 0.000
```

Output
total moment	3.12	μB/f.u.
ΔE_f	0.702	eV/atom

# 11
Here is BaSN2 after structural relaxation from Alexandria. Energies are from GGA-PBE.

```
data_BaSN2
_chemical_formula_sum 'Ba2 S2 N4'
_cell_length_a 6.239
_cell_length_b 6.239
_cell_length_c 5.538
_cell_angle_alpha 55.72
_cell_angle_beta 55.72
_cell_angle_gamma 90.00
_space_group_name_H-M_alt 'P 1'
_space_group_IT_number 1
_space_group_name_Hall 'P 1'
loop_
_atom_site_label
_atom_site_fract_x
_atom_site_fract_y
_atom_site_fract_z
S1 0.500 0.500 0.000
Ba1 0.000 0.000 0.000
S2 0.250 0.750 0.500
N1 0.375 0.512 0.750
N2 0.488 0.125 0.250
N3 0.875 0.738 0.750
Ba2 0.750 0.250 0.500
N4 0.262 0.625 0.250
```

Output
total moment	0.00	μB/f.u.
E_form (uncorrected)	521	meV per atom

# 12
Here is Ac3Sc after structural relaxation from Alexandria. Energies are from GGA-PBE.

```
data_Ac3Sc
_chemical_formula_sum 'Ac3 Sc1'
_cell_length_a 5.391
_cell_length_b 5.391
_cell_length_c 6.608
_cell_angle_alpha 114.07
_cell_angle_beta 114.07
_cell_angle_gamma 90.00
_space_group_name_H-M_alt 'P 1'
_space_group_IT_number 1
_space_group_name_Hall 'P 1'
loop_
_atom_site_label
_atom_site_fract_x
_atom_site_fract_y
_atom_site_fract_z
Sc1 0.000 0.000 0.000
Ac1 0.500 0.500 0.000
Ac2 0.750 0.250 0.500
Ac3 0.250 0.750 0.500
```

Output
energy above the lowest structure with this stoichiometry	0.010	eV/atom
total moment	0.00	μB/f.u.
ΔE_f	0.105	eV/atom

# 13
Here is Cs3SrCr2Br9 after structural relaxation from Alexandria. Energies are from GGA-PBE.

```
data_Cs3SrCr2Br9
_chemical_formula_sum 'Cs3 Sr1 Cr2 Br9'
_cell_length_a 7.864
_cell_length_b 7.864
_cell_length_c 9.708
_cell_angle_alpha 90.00
_cell_angle_beta 90.00
_cell_angle_gamma 120.00
_space_group_name_H-M_alt 'P 1'
_space_group_IT_number 1
_space_group_name_Hall 'P 1'
loop_
_atom_site_label
_atom_site_fract_x
_atom_site_fract_y
_atom_site_fract_z
Br1 0.647 0.824 0.314
Br2 0.500 0.500 0.000
Br3 0.176 0.353 0.314
Br4 0.824 0.647 0.686
Cr1 0.333 0.667 0.152
Br5 0.824 0.176 0.686
Br6 0.176 0.824 0.314
Cs1 0.333 0.667 0.675
Cs2 0.000 0.000 0.000
Cr2 0.667 0.333 0.848
Br7 0.500 0.000 0.000
Cs3 0.667 0.333 0.325
Br8 0.000 0.500 0.000
Br9 0.353 0.176 0.686
Sr1 0.000 0.000 0.500
```

Output
total moment	8.00	μB/f.u.
E_form (uncorrected)	-1397	meV per atom

# 14
Here is KTa2Se after structural relaxation from Alexandria. Energies are from GGA-PBE.

```
data_KTa2Se
_chemical_formula_sum 'K1 Ta2 Se1'
_cell_length_a 6.544
_cell_length_b 6.544
_cell_length_c 5.213
_cell_angle_alpha 67.69
_cell_angle_beta 67.69
_cell_angle_gamma 25.23
_space_group_name_H-M_alt 'P 1'
_space_group_IT_number 1
_space_group_name_Hall 'P 1'
loop_
_atom_site_label
_atom_site_fract_x
_atom_site_fract_y
_atom_site_fract_z
K1 0.250 0.250 0.250
Ta1 0.045 0.045 0.940
Ta2 0.455 0.455 0.560
Se1 0.750 0.750 0.750
```

Output
total moment	0.00	μB/f.u.
E_form (uncorrected)	474	meV per atom

# 15
Here is CoCu3Pt4 after structural relaxation from Alexandria. Energies are from GGA-PBE.

```
data_CoCu3Pt4
_chemical_formula_sum 'Co1 Cu3 Pt4'
_cell_length_a 3.901
_cell_length_b 3.901
_cell_length_c 7.786
_cell_angle_alpha 104.47
_cell_angle_beta 104.51
_cell_angle_gamma 90.00
_space_group_name_H-M_alt 'P 1'
_space_group_IT_number 1
_space_group_name_Hall 'P 1'
loop_
_atom_site_label
_atom_site_fract_x
_atom_site_fract_y
_atom_site_fract_z
Co1 0.500 0.000 0.000
Pt1 0.123 0.124 0.247
Pt2 0.877 0.876 0.753
Cu1 0.000 0.500 0.000
Pt3 0.623 0.624 0.247
Cu2 0.750 0.250 0.500
Cu3 0.250 0.750 0.500
Pt4 0.377 0.376 0.753
```

Output
total moment	3.00	μB/f.u.
ΔE_f	-0.112	eV/atom

# 16
Here is Tb3TlOs after structural relaxation from Alexandria. Energies are from GGA-PBE.

```
data_Tb3TlOs
_chemical_formula_sum 'Tb6 Tl2 Os2'
_cell_length_a 5.881
_cell_length_b 5.881
_cell_length_c 8.844
_cell_angle_alpha 102.04
_cell_angle_beta 102.04
_cell_angle_gamma 111.87
_space_group_name_H-M_alt 'P 1'
_space_group_IT_number 1
_space_group_name_Hall 'P 1'
loop_
_atom_site_label
_atom_site_fract_x
_atom_site_fract_y
_atom_site_fract_z
Tb1 0.923 0.804 0.727
Tl1 0.284 0.784 0.500
Tl2 0.716 0.216 0.500
Os1 0.750 0.750 0.000
Tb2 0.299 0.799 0.098
Os2 0.250 0.250 0.000
Tb3 0.701 0.201 0.902
Tb4 0.304 0.423 0.727
Tb5 0.696 0.577 0.273
Tb6 0.077 0.196 0.273
```

Output
energy above the lowest structure with this stoichiometry	0.000	eV/atom
total moment	0.00	μB/f.u.
ΔE_f	-0.292	eV/atom

# 17
Here is CsRh after structural relaxation from Alexandria. Energies are from GGA-PBE.

```
data_CsRh
_chemical_formula_sum 'Cs8 Rh8'
_cell_length_a 8.187
_cell_length_b 10.914
_cell_length_c 6.577
_cell_angle_alpha 90.00
_cell_angle_beta 90.00
_cell_angle_gamma 90.00
_space_group_name_H-M_alt 'P 1'
_space_group_IT_number 1
_space_group_name_Hall 'P 1'
loop_
_atom_site_label
_atom_site_fract_x
_atom_site_fract_y
_atom_site_fract_z
Rh1 0.398 0.750 0.873
Rh2 0.609 0.750 0.625
Rh3 0.898 0.750 0.627
Rh4 0.891 0.250 0.125
Rh5 0.102 0.250 0.373
Cs1 0.747 0.419 0.611
Cs2 0.753 0.581 0.111
Cs3 0.253 0.581 0.389
Rh6 0.109 0.750 0.875
Cs4 0.253 0.919 0.389
Cs5 0.753 0.919 0.111
Cs6 0.747 0.081 0.611
Cs7 0.247 0.419 0.889
Rh7 0.602 0.250 0.127
Rh8 0.391 0.250 0.375
Cs8 0.247 0.081 0.889
```

Output
total moment	0.39	μB/f.u.
ΔE_f	0.622	eV/atom

# 18
Here is Sn2HgTe after structural relaxation from Alexandria. Energies are from GGA-PBE.

```
data_Sn2HgTe
_chemical_formula_sum 'Sn2 Hg1 Te1'
_cell_length_a 4.061
_cell_length_b 4.061
_cell_length_c 8.628
_cell_angle_alpha 76.39
_cell_angle_beta 76.39
_cell_angle_gamma 60.00
_space_group_name_H-M_alt 'P 1'
_space_group_IT_number 1
_space_group_name_Hall 'P 1'
loop_
_atom_site_label
_atom_site_fract_x
_atom_site_fract_y
_atom_site_fract_z
Sn1 0.082 0.082 0.754
Sn2 0.252 0.252 0.243
Hg1 0.668 0.668 0.996
Te1 0.498 0.498 0.507
```

Output
energy above the lowest structure with this stoichiometry	0.000	eV/atom
total moment	0.00	μB/f.u.
E_form (uncorrected)	-14	meV per atom

# 19
Here is AlCu2Sb after structural relaxation from Alexandria. Energies are from GGA-PBE.

```
data_AlCu2Sb
_chemical_formula_sum 'Al1 Cu2 Sb1'
_cell_length_a 3.056
_cell_length_b 3.056
_cell_length_c 7.308
_cell_angle_alpha 90.00
_cell_angle_beta 90.00
_cell_angle_gamma 90.00
_space_group_name_H-M_alt 'P 1'
_space_group_IT_number 1
_space_group_name_Hall 'P 1'
loop_
_atom_site_label
_atom_site_fract_x
_atom_site_fract_y
_atom_site_fract_z
Cu1 0.500 0.500 0.199
Sb1 0.000 0.000 0.463
Cu2 0.000 0.000 0.012
Al1 0.500 0.500 0.826
```

Output
energy above the lowest structure with this stoichiometry	0.079	eV/atom
total moment	0.00	μB/f.u.
E_form (uncorrected)	112	meV per atom